1.
DFT (PBE) results for Ba2PtAu after structural relaxation.

Unit cell a=4.7994 b=6.4463 c=6.4463 alpha=40.69 beta=90.00 gamma=90.00
With the nearest neighbours (Å) after each atom.
Fractional positions:
Ba: 0.0000 0.0000 0.0000  4 Au 3.37, 3 Pt 3.43-3.45
Ba: 0.5000 0.2748 0.2748  4 Pt 3.36, 3 Au 3.40-3.49
Pt: 0.0000 0.7144 0.7144  2 Au 3.02, 4 Ba 3.36
Au: 0.5000 0.5633 0.5633  2 Pt 3.02, 4 Ba 3.37

As for the formation energy: -733 meV per atom. As for the total magnetic moment: 0.00 μB/atom. The value obtained for the energy is -16.10 eV per cell.

2.
DFT (PBE) results for Ba2Pt2Au after structural relaxation.

Unit cell a=9.6375 b=9.6375 c=9.6375 alpha=156.34 beta=156.34 gamma=33.71
With the nearest neighbours (Å) after each atom.
Fractional positions:
Ba: 0.1154 0.1154 0.0000  4 Pt 3.17, 4 Au 3.51
Ba: 0.8846 0.8846 0.0000  4 Pt 3.17, 4 Au 3.51
Pt: 0.2500 0.7500 0.5000  4 Pt 2.79
Pt: 0.7500 0.2500 0.5000  4 Pt 2.79
Au: 0.5000 0.5000 0.0000  8 Ba 3.51

As for the formation energy: -540 meV per atom. As for the total magnetic moment: 0.00 μB/atom. The value obtained for the energy is -21.90 eV per cell.

3.
DFT (PBE) results for BaPtAu2 after structural relaxation.

Unit cell a=6.0694 b=6.0511 c=4.3475 alpha=69.21 beta=68.76 gamma=42.04
With the nearest neighbours (Å) after each atom.
Fractional positions:
Ba: 0.0000 0.0000 0.0000  4 Au 3.03, 4 Pt 3.06-3.09
Pt: 0.5000 0.5000 0.5000  4 Au 3.03, 4 Ba 3.06-3.09
Au: 0.0000 0.5000 0.5000  2 Ba 3.03, 2 Pt 3.03, 4 Au 3.06-3.09
Au: 0.5000 0.0000 0.0000  2 Ba 3.03, 2 Pt 3.03, 4 Au 3.06-3.09

As for the formation energy: -164 meV per atom. As for the total magnetic moment: 0.00 μB/atom. The value obtained for the energy is -15.17 eV per cell.